No. 1
DFT (PBE-GGA) results for a relaxed structure of InAsSe2Br.

Calculated values
As for the total magnetic moment: 0.30 μB per cell. As for the space group: P4/mmm (123). The energy relative to the elements, uncorrected is 631 meV/atom. The calculation puts the energy above the most stable polymorph in this dataset at 616.6 meV/atom.

abc: 5.234 5.234 5.588
angles: 90.00 90.00 90.00
Site moments in Bohr magnetons follow the coordinates.
Sites, in units of the cell vectors:
As (0.000, 0.000, 0.500)  0.05
Se (0.000, 0.500, 0.000)  0.06
Se (0.500, 0.000, 0.000)  0.06
Br (0.500, 0.500, 0.500)  0.01
In (0.000, 0.000, 0.000)  0.00

---

No. 2
DFT (PBE-GGA) results for a relaxed structure of PuPaIr2.

Calculated values
As for the total magnetic moment: 5.13 μB per cell. For the formation energy, the calculation gives -0.71 eV per atom. As for the space group: Amm2 (38). The calculation puts the energy above the most stable polymorph in this dataset at 0.0 meV/atom.

abc: 3.857 4.055 5.793
angles: 90.00 109.44 90.00
Site moments in Bohr magnetons follow the coordinates.
Sites, in units of the cell vectors:
Pu (0.447, 0.500, 0.432)  4.86
Pa (0.721, 0.000, 0.981)  0.29
Ir (0.180, 0.500, 0.900)  -0.06
Ir (0.983, 0.000, 0.505)  -0.24

---

No. 3
DFT (PBE-GGA) results for a relaxed structure of DyTiRuRh.

Calculated values
As for the total magnetic moment: 0.00 μB per cell. For the formation energy, the calculation gives -0.58 eV per atom. As for the space group: F-43m (216).

abc: 4.601 4.601 4.601
angles: 60.00 60.00 60.00
Sites, in units of the cell vectors:
Ru (0.500, 0.500, 0.500)
Ti (0.250, 0.250, 0.250)
Rh (0.000, 0.000, 0.000)
Dy (0.750, 0.750, 0.750)

---

No. 4
DFT (PBE-GGA) results for a relaxed structure of TaNb3Br9.

Calculated values
As for the total magnetic moment: 1.97 μB per cell. As for the space group: P1 (1). The energy relative to the elements, uncorrected is -546 meV/atom.

abc: 9.323 8.350 14.239
angles: 82.00 70.88 56.10
Site moments in Bohr magnetons follow the coordinates.
Sites, in units of the cell vectors:
Ta (0.080, 0.570, 0.918)  0.00
Ta (0.432, 0.070, 0.418)  0.00
Nb (0.759, 0.437, 0.733)  0.86
Nb (0.071, 0.937, 0.233)  0.86
Nb (0.134, 0.837, 0.894)  0.15
Nb (0.135, 0.337, 0.395)  0.15
Nb (0.467, 0.446, 0.805)  -0.26
Nb (0.282, 0.946, 0.305)  -0.26
Br (0.420, 0.158, 0.223)  0.00
Br (0.200, 0.658, 0.723)  0.00
Br (0.343, 0.213, 0.852)  0.01
Br (0.593, 0.712, 0.352)  0.01
Br (0.147, 0.032, 0.498)  0.00
Br (0.323, 0.533, 0.998)  0.00
Br (0.851, 0.703, 0.082)  0.01
Br (0.364, 0.204, 0.581)  0.01
Br (0.717, 0.098, 0.352)  0.01
Br (0.833, 0.598, 0.852)  0.01
Br (0.451, 0.786, 0.778)  0.01
Br (0.986, 0.286, 0.278)  0.01
Br (0.174, 0.658, 0.356)  0.01
Br (0.812, 0.158, 0.856)  0.01
Br (0.696, 0.251, 0.633)  0.01
Br (0.420, 0.752, 0.133)  0.01
Br (0.002, 0.068, 0.055)  0.00
Br (0.874, 0.568, 0.555)  0.00